## In4P (PBE-GGA)

Data for crystalline In4P at its relaxed geometry.

total magnetization: 0.00 μB/f.u.
energy relative to the elements: 0.330 eV per atom
excess energy over the best structure of this formula in the dataset: 0.56 eV/f.u.

abc: 4.0081 4.0081 16.9828
angles: 90.00 90.00 90.00
Last column: nearest neighbours and their distance in Å.
Space group I4/mmm (No. 139)
Asymmetric unit:
In (0.0000, 0.0000, 0.0858) x4  1 In 2.91, 4 P 3.19
In (0.0000, 0.5000, 0.2500) x4  4 In 2.83
P (0.0000, 0.0000, 0.5000) x2  8 In 3.19